(1)
{"formula": "HoNbO4", "functional": "PBE", "state": "optimized geometry", "sg": "I4_1/a, No. 88", "formation_energy_uncorrected_ev_per_atom": -3.113, "lattice": [[-2.6167, 2.6167, 5.5372], [2.6167, -2.6167, 5.5372], [2.6167, 2.6167, -5.5372]], "species": ["Ho", "Ho", "Nb", "Nb", "O", "O", "O", "O", "O", "O", "O", "O"], "fractional_positions": [[0.3750, 0.1250, 0.2500], [0.6250, 0.8750, 0.7500], [0.1250, 0.3750, 0.7500], [0.8750, 0.6250, 0.2500], [0.0368, 0.2112, 0.3182], [0.2186, 0.5368, 0.3256], [0.2888, 0.1070, 0.8256], [0.3930, 0.7186, 0.1818], [0.6070, 0.2814, 0.8182], [0.7112, 0.8930, 0.1744], [0.7814, 0.4632, 0.6744], [0.9632, 0.7888, 0.6818]]}



(2)
{"formula": "HoNbPb2O6", "functional": "PBE", "state": "optimized geometry", "sg": "P2_1/c, No. 14", "formation_energy_uncorrected_ev_per_atom": -2.265, "lattice": [[5.8979, 0.0000, 0.0000], [0.0000, 5.9477, 0.0000], [-5.8882, 0.0000, 8.3730]], "species": ["Ho", "Ho", "Nb", "Nb", "Pb", "Pb", "Pb", "Pb", "O", "O", "O", "O", "O", "O", "O", "O", "O", "O", "O", "O"], "fractional_positions": [[0.0000, 0.0000, 0.0000], [0.0000, 0.5000, 0.5000], [0.5000, 0.0000, 0.5000], [0.5000, 0.5000, 0.0000], [0.2572, 0.0268, 0.7511], [0.2572, 0.4732, 0.2511], [0.7428, 0.5268, 0.7489], [0.7428, 0.9732, 0.2489], [0.1845, 0.0174, 0.2641], [0.1845, 0.4826, 0.7641], [0.2660, 0.6975, 0.0412], [0.2660, 0.8025, 0.5412], [0.3481, 0.2220, 0.0411], [0.3481, 0.2780, 0.5411], [0.6519, 0.7220, 0.4589], [0.6519, 0.7780, 0.9589], [0.7340, 0.1975, 0.4588], [0.7340, 0.3025, 0.9588], [0.8155, 0.5174, 0.2359], [0.8155, 0.9826, 0.7359]]}